Mn2MoAuO PBE with a Hubbard U relaxed; space group = P4/mmm (123); E_tot = -5.647 eV/atom
1.0
5.296 0.000 0.000
0.000 5.296 0.000
0.000 0.000 3.817
Mn Mo Au O
2 1 1 1
Cartesian
0.000 2.648 0.000
2.648 0.000 0.000
0.000 0.000 0.000
2.648 2.648 1.908
0.000 0.000 1.908